Computed, not measured: K2ReAgS4 after structural relaxation at the GGA-PBE level of DFT.

Calculated values
E_form (uncorrected)	-57	kJ/mol of atoms
space-group type	I-4 (82)

Cell lengths 6.602, 6.602, 6.602 Å; angles 105.53, 111.48, 111.48 degrees
Site moments in Bohr magnetons follow the coordinates.
Positions (direct):
S 0.940 0.495 0.144  0.03
S 0.351 0.856 0.796  0.03
S 0.060 0.204 0.555  0.03
S 0.649 0.445 0.505  0.03
K 0.000 0.000 0.000  0.00
K 0.500 0.750 0.250  0.00
Re 0.000 0.500 0.500  0.66
Ag 0.500 0.250 0.750  0.02

Computed, not measured: KScRe2Ag after structural relaxation at the GGA-PBE level of DFT.

Calculated values
space-group type	P4/mmm (123)
energy of formation	2.84	eV/atom

Cell lengths 4.590, 4.600, 4.590 Å; angles 90.00, 90.00, 90.00 degrees
Positions (direct):
Re 0.500 0.000 0.000
Re 0.000 0.000 0.500
K 0.000 0.000 0.000
Ag 0.500 0.500 0.500
Sc 0.000 0.500 0.000

Computed, not measured: K2ReAgSe4 after structural relaxation at the GGA-PBE level of DFT.

Calculated values
E_form (uncorrected)	-47	kJ/mol of atoms
space-group type	I-4 (82)

Cell lengths 6.866, 6.866, 6.866 Å; angles 107.08, 110.68, 110.68 degrees
Site moments in Bohr magnetons follow the coordinates.
Positions (direct):
Re 0.000 0.500 0.500  0.72
K 0.500 0.750 0.250  0.00
K 0.000 0.000 0.000  0.00
Se 0.644 0.448 0.506  0.03
Se 0.942 0.494 0.138  0.03
Se 0.058 0.196 0.552  0.03
Se 0.356 0.862 0.804  0.03
Ag 0.500 0.250 0.750  0.02